Entry from the Alexandria database: a relaxed structure of BaCd2Pb (PBE).

a b c (Å): 5.0003 5.0003 6.7814
angles (deg): 68.39 68.39 60.10
Element x y z (fractional)
Ba  0.7470  0.7470  0.7590
Cd  0.2567  0.2567  0.2299
Cd  0.9654  0.9654  0.1037
Pb  0.5309  0.5309  0.4075

Results
Volume: 133 Å³/cell
Space group: Cm, No. 8
Energy of formation: -1.09 eV/f.u.

Entry from the Alexandria database: a relaxed structure of Sb2TePbSe (PBE).

a b c (Å): 5.6276 5.6276 5.6328
angles (deg): 90.00 90.00 90.00
Element x y z (fractional)
Te  0.0000  0.0000  0.5000
Pb  0.5000  0.5000  0.5000
Sb  0.5000  0.0000  0.0000
Sb  0.0000  0.5000  0.0000
Se  0.0000  0.0000  0.0000

Results
Volume: 178 Å³/cell
Space group: P4/mmm, No. 123
Offset from the most stable computed form: 0.0000 eV/atom
Formation energy without anion corrections: 431 meV per atom

Entry from the Alexandria database: a relaxed structure of Ac3CeAl8 (PBE).

a b c (Å): 5.8491 5.8491 10.1130
angles (deg): 73.19 73.19 60.00
Element x y z (fractional)
Al  0.9378  0.9378  0.6824
Al  0.4356  0.9362  0.1926
Al  0.1879  0.1879  0.4362
Al  0.4420  0.9378  0.6824
Al  0.9378  0.4420  0.6824
Al  0.6875  0.6875  0.9375
Al  0.4356  0.4356  0.1926
Al  0.9362  0.4356  0.1926
Ac  0.9992  0.9992  0.0023
Ac  0.3747  0.3747  0.8758
Ac  0.5008  0.5008  0.4977
Ce  0.8749  0.8749  0.3754

Results
Volume: 282 Å³/cell
Space group: R3m, No. 160
Energy of formation: -4.42 eV/f.u.

Entry from the Alexandria database: a relaxed structure of Mg3Si4 (PBE).

a b c (Å): 5.6267 7.2080 7.5135
angles (deg): 105.26 101.51 108.41
Element x y z (fractional)
Mg  0.4663  0.7331  0.3788
Mg  0.7278  0.8068  0.9044
Mg  0.9351  0.5495  0.5500
Mg  0.0108  0.3086  0.1264
Mg  0.3296  0.0189  0.7682
Mg  0.0068  0.0633  0.4019
Si  0.5222  0.3860  0.1192
Si  0.2682  0.4234  0.8422
Si  0.5467  0.1665  0.5046
Si  0.9363  0.6719  0.2158
Si  0.5476  0.0684  0.1721
Si  0.4023  0.4583  0.5673
Si  0.8611  0.1099  0.7284
Si  0.1856  0.7359  0.9676

Results
Volume: 265 Å³/cell
Space group: P1, No. 1
Offset from the most stable computed form: 0.0215 eV/atom
Formation energy without anion corrections: 74 meV per atom

Entry from the Alexandria database: a relaxed structure of BaCu3Se3 (PBE).

a b c (Å): 7.0907 7.0907 8.6511
angles (deg): 65.81 65.81 60.00
Element x y z (fractional)
Se  0.0951  0.7716  0.7118
Se  0.5786  0.9049  0.2882
Se  0.4214  0.0951  0.7118
Se  0.2284  0.5786  0.2882
Se  0.9049  0.2284  0.2882
Se  0.7716  0.4214  0.7118
Cu  0.8702  0.5296  0.3829
Cu  0.2173  0.8702  0.3829
Cu  0.5296  0.2173  0.3829
Cu  0.7827  0.1298  0.6171
Cu  0.4704  0.7827  0.6171
Cu  0.1298  0.4704  0.6171
Ba  0.3335  0.3335  0.9995
Ba  0.6665  0.6665  0.0005

Results
Volume: 332 Å³/cell
Space group: R-3, No. 148
Offset from the most stable computed form: 0.0389 eV/atom
Formation energy without anion corrections: -637 meV per atom

Entry from the Alexandria database: a relaxed structure of Er6Ge2SeS3 (PBE).

a b c (Å): 4.0014 7.9827 8.9044
angles (deg): 102.31 102.98 90.00
Element x y z (fractional)
S  0.8359  0.1648  0.6718
S  0.1641  0.8352  0.3282
S  0.5000  0.5000  0.0000
Er  0.9975  0.7372  0.9950
Er  0.6668  0.5825  0.3337
Er  0.0025  0.2628  0.0050
Er  0.3332  0.4175  0.6663
Er  0.6698  0.0895  0.3397
Er  0.3302  0.9105  0.6603
Ge  0.8337  0.6679  0.6673
Ge  0.1663  0.3321  0.3327
Se  0.5000  0.0000  0.0000

Results
Volume: 270 Å³/cell
Space group: C2/m, No. 12
Formation energy without anion corrections: -1603 meV per atom

Entry from the Alexandria database: a relaxed structure of BeSb2Te (PBE).

a b c (Å): 5.3614 5.7298 7.7714
angles (deg): 115.41 125.41 107.44
Element x y z (fractional)
Sb  0.1110  0.1066  0.1331
Sb  0.3393  0.7752  0.5061
Be  0.6161  0.0335  0.3948
Te  0.4337  0.5848  0.9660

Results
Volume: 117 Å³/cell
Space group: P1, No. 1
Offset from the most stable computed form: 0.0000 eV/atom
Formation energy without anion corrections: 89 meV per atom

Entry from the Alexandria database: a relaxed structure of Li4MgTl5 (PBE).

a b c (Å): 3.5757 3.5757 17.1393
angles (deg): 90.00 90.00 90.00
Element x y z (fractional)
Li  0.0000  0.0000  0.5975
Li  0.0000  0.0000  0.7943
Li  0.0000  0.0000  0.2057
Li  0.0000  0.0000  0.4025
Tl  0.5000  0.5000  0.1083
Tl  0.5000  0.5000  0.6951
Tl  0.5000  0.5000  0.8917
Tl  0.5000  0.5000  0.5000
Tl  0.5000  0.5000  0.3049
Mg  0.0000  0.0000  0.0000

Results
Volume: 219 Å³/cell
Space group: P4/mmm, No. 123
Energy of formation: -1.90 eV/f.u.

Entry from the Alexandria database: a relaxed structure of Li4DyEr3Se8 (PBE).

a b c (Å): 8.0896 7.9988 8.0897
angles (deg): 120.39 120.00 90.00
Element x y z (fractional)
Se  0.7484  0.2479  0.9995
Se  0.2516  0.7520  0.5033
Se  0.2511  0.2479  0.9995
Se  0.7504  0.7511  0.5008
Se  0.7489  0.7521  0.0005
Se  0.7484  0.2480  0.4967
Se  0.2516  0.7521  0.0005
Se  0.2496  0.2489  0.4992
Li  0.5000  0.0000  0.0000
Li  0.0000  0.0000  0.0000
Li  0.5000  0.0000  0.5000
Li  0.0000  0.0000  0.5000
Er  0.0000  0.5000  0.5000
Er  0.5000  0.5000  0.5000
Er  0.5000  0.5000  0.0000
Dy  0.0000  0.5000  0.0000

Results
Volume: 368 Å³/cell
Space group: R-3m, No. 166
Formation energy without anion corrections: -1697 meV per atom

Entry from the Alexandria database: a relaxed structure of ZrAl3Pt (PBE).

a b c (Å): 5.0458 5.0458 5.0458
angles (deg): 90.00 90.00 90.00
Element x y z (fractional)
Zr  0.0000  0.0000  0.0000
Al  0.5000  0.0000  0.0000
Al  0.0000  0.5000  0.0000
Al  0.0000  0.0000  0.5000
Pt  0.5000  0.5000  0.5000

Results
Volume: 128 Å³/cell
Space group: Pm-3m, No. 221
Energy of formation: 6.37 eV/f.u.
Offset from the most stable computed form: 1.3046 eV/atom

Entry from the Alexandria database: a relaxed structure of CaHgH2F8 (PBE).

a b c (Å): 3.9399 4.6613 8.9312
angles (deg): 97.78 85.76 71.81
Element x y z (fractional)
F  0.7680  0.3292  0.7366
F  0.2005  0.7663  0.7792
F  0.5938  0.7406  0.5154
F  0.7995  0.2337  0.2208
F  0.3127  0.2676  0.9705
F  0.4062  0.2594  0.4846
F  0.2320  0.6708  0.2634
F  0.6873  0.7324  0.0295
Hg  0.0000  0.0000  0.0000
H  0.5399  0.5029  0.7542
H  0.4601  0.4971  0.2458
Ca  0.0000  0.0000  0.5000

Results
Volume: 153 Å³/cell
Space group: P-1, No. 2
Calculated total energy: -45.8 eV/cell

Entry from the Alexandria database: a relaxed structure of SrAs2IrBr (PBE).

a b c (Å): 4.7955 4.7955 5.7457
angles (deg): 90.00 90.00 90.00
Element x y z (fractional)
As  0.0000  0.5000  0.0000
As  0.5000  0.0000  0.0000
Ir  0.0000  0.0000  0.0000
Br  0.0000  0.0000  0.5000
Sr  0.5000  0.5000  0.5000

Results
Volume: 132 Å³/cell
Space group: P4/mmm, No. 123
Offset from the most stable computed form: 0.0000 eV/atom
Formation energy without anion corrections: -300 meV per atom